9
Lattice="3.3195 0.0000 0.0000 -1.6376 4.6782 0.0000 -0.0016 -0.0089 6.2366" Properties=species:S:1:pos:R:3 comment="KZnTcH6 (PBE-GGA, optimized geometry)" vol_a3_per_atom=10.76 dft_energy_ev_per_atom=-3.738 pbc="T T T"
K 0.0000 0.0000 0.0000
Zn 1.5633 1.1194 3.1186
Tc -0.1098 3.1518 3.1177
H 0.0059 1.9313 4.3578
H 0.0085 1.9303 1.8796
H 0.0523 4.4165 1.8984
H 0.0502 4.4162 4.3376
H 1.8369 3.3061 2.1648
H 1.8329 3.3094 4.0652